DFT (GGA+U) results for a geometry-optimized RbMgV2O6 structure.

It has space group C2/c (No. 15), with a = 10.869 Å, b = 11.836 Å, c = 6.140 Å, α = 90.00°, β = 112.09° and γ = 90.00°. The distinct sites, in fractional coordinates, are Rb at (0.000, 0.113, 0.250), Mg at (0.000, 0.239, 0.750), V at (0.202, 0.418, 0.159), O at (0.083, 0.313, 0.054), O at (0.135, 0.131, 0.737) and O at (0.187, 0.490, 0.412).

For the density of states at the Fermi level, the calculation gives 6.05 states/eV/cell. The electronic total energy comes out at -6.786 eV per atom. As for the spin magnetization: 4.000 Bohr magnetons per cell.